{
  "formula": "Pm5Eu3F12",
  "functional": "GGA-PBE",
  "state": "optimized geometry",
  "lattice": [[12.644, 0.000, 0.000], [-4.215, 11.921, 0.000], [-4.215, -5.960, 10.324]],
  "species": ["Eu", "Eu", "Eu", "Eu", "Eu", "Eu", "Eu", "Eu", "Eu", "Eu", "Eu", "Eu", "Pm", "Pm", "Pm", "Pm", "Pm", "Pm", "Pm", "Pm", "Pm", "Pm", "Pm", "Pm", "Pm", "Pm", "Pm", "Pm", "Pm", "Pm", "Pm", "Pm", "F", "F", "F", "F", "F", "F", "F", "F", "F", "F", "F", "F", "F", "F", "F", "F", "F", "F", "F", "F", "F", "F", "F", "F", "F", "F", "F", "F", "F", "F", "F", "F", "F", "F", "F", "F", "F", "F", "F", "F", "F", "F", "F", "F", "F", "F", "F", "F"],
  "fractional_positions": [[0.750, 0.375, 0.125], [0.875, 0.750, 0.125], [0.375, 0.750, 0.625], [0.250, 0.125, 0.375], [0.875, 0.125, 0.250], [0.375, 0.625, 0.250], [0.625, 0.375, 0.750], [0.125, 0.875, 0.750], [0.750, 0.875, 0.625], [0.625, 0.250, 0.375], [0.125, 0.250, 0.875], [0.250, 0.625, 0.875], [0.125, 0.375, 0.250], [0.000, 0.500, 0.000], [0.000, 0.000, 0.000], [0.375, 0.250, 0.125], [0.500, 0.000, 0.500], [0.500, 0.500, 0.000], [0.125, 0.750, 0.375], [0.750, 0.125, 0.875], [0.750, 0.625, 0.375], [0.375, 0.125, 0.750], [0.625, 0.875, 0.250], [0.500, 0.500, 0.500], [0.500, 0.000, 0.000], [0.000, 0.000, 0.500], [0.250, 0.375, 0.625], [0.250, 0.875, 0.125], [0.000, 0.500, 0.500], [0.875, 0.250, 0.625], [0.625, 0.750, 0.875], [0.875, 0.625, 0.750], [0.716, 0.160, 0.058], [0.342, 0.558, 0.398], [0.942, 0.340, 0.284], [0.558, 0.216, 0.160], [0.556, 0.716, 0.658], [0.942, 0.602, 0.158], [0.342, 0.784, 0.444], [0.102, 0.944, 0.160], [0.602, 0.942, 0.658], [0.716, 0.556, 0.158], [0.784, 0.442, 0.340], [0.842, 0.898, 0.058], [0.160, 0.716, 0.558], [0.340, 0.398, 0.056], [0.056, 0.898, 0.340], [0.444, 0.160, 0.602], [0.056, 0.158, 0.216], [0.442, 0.658, 0.102], [0.842, 0.944, 0.284], [0.160, 0.444, 0.102], [0.340, 0.942, 0.784], [0.602, 0.660, 0.444], [0.898, 0.842, 0.558], [0.784, 0.342, 0.944], [0.398, 0.340, 0.556], [0.102, 0.158, 0.442], [0.216, 0.658, 0.056], [0.158, 0.056, 0.716], [0.660, 0.058, 0.216], [0.840, 0.556, 0.898], [0.558, 0.342, 0.898], [0.556, 0.840, 0.398], [0.944, 0.842, 0.784], [0.944, 0.102, 0.660], [0.840, 0.284, 0.442], [0.158, 0.102, 0.942], [0.660, 0.602, 0.944], [0.398, 0.058, 0.342], [0.284, 0.444, 0.842], [0.216, 0.558, 0.660], [0.898, 0.056, 0.840], [0.658, 0.216, 0.556], [0.442, 0.784, 0.840], [0.058, 0.398, 0.842], [0.444, 0.284, 0.342], [0.058, 0.660, 0.716], [0.658, 0.442, 0.602], [0.284, 0.840, 0.942]],
  "e_form_raw_ev_per_atom": -3.059,
  "dos_at_fermi_per_ev_cell": 43.342,
  "crystal_system": "cubic"
}

=====

{
  "formula": "PrEuF",
  "functional": "GGA-PBE",
  "state": "optimized geometry",
  "lattice": [[-1.188, -3.603, -0.640], [2.861, 1.484, -2.102], [4.101, -2.083, 4.111]],
  "species": ["Eu", "Pr", "F"],
  "fractional_positions": [[0.000, 0.000, 0.913], [0.667, 0.333, 0.411], [0.333, 0.667, 0.676]],
  "e_form_raw_ev_per_atom": -1.555,
  "dos_at_fermi_per_ev_cell": 3.726,
  "crystal_system": "trigonal"
}

=====

{
  "formula": "Pr2EuF",
  "functional": "GGA-PBE",
  "state": "optimized geometry",
  "lattice": [[3.849, 0.000, 0.000], [1.925, 3.333, 0.000], [1.925, 1.111, 9.641]],
  "species": ["Eu", "Pr", "Pr", "F"],
  "fractional_positions": [[0.000, 0.000, 0.000], [0.118, 0.118, 0.645], [0.882, 0.882, 0.355], [0.500, 0.500, 0.500]],
  "e_form_raw_ev_per_atom": -0.978,
  "dos_at_fermi_per_ev_cell": 4.826,
  "crystal_system": "trigonal"
}

=====

{
  "formula": "Eu2PtF",
  "functional": "GGA-PBE",
  "state": "optimized geometry",
  "lattice": [[3.472, 0.000, 0.000], [0.000, 3.472, 0.000], [0.000, 0.000, 7.335]],
  "species": ["Eu", "Eu", "Pt", "F"],
  "fractional_positions": [[0.000, 0.000, 0.748], [0.000, 0.000, 0.252], [0.500, 0.500, 0.500], [0.500, 0.500, 0.000]],
  "polymorph_energy_ev_per_atom": 0.157,
  "e_form_raw_ev_per_atom": -1.612,
  "dos_at_fermi_per_ev_cell": 10.506,
  "crystal_system": "tetragonal"
}

=====

{
  "formula": "Eu2PtF",
  "functional": "GGA-PBE",
  "state": "optimized geometry",
  "lattice": [[4.366, 0.000, 0.000], [2.183, 3.781, 0.000], [2.183, 1.260, 7.701]],
  "species": ["Eu", "Eu", "Pt", "F"],
  "fractional_positions": [[0.099, 0.099, 0.702], [0.901, 0.901, 0.298], [0.500, 0.500, 0.500], [0.000, 0.000, 0.000]],
  "polymorph_energy_ev_per_atom": 0.000,
  "e_form_raw_ev_per_atom": -1.769,
  "dos_at_fermi_per_ev_cell": 25.512,
  "crystal_system": "trigonal"
}

=====

{
  "formula": "EuPuSF",
  "functional": "GGA-PBE",
  "state": "optimized geometry",
  "lattice": [[4.841, 0.000, 0.000], [2.421, 4.193, 0.000], [2.421, 1.398, 3.953]],
  "species": ["Eu", "S", "F", "Pu"],
  "fractional_positions": [[0.000, 0.000, 0.000], [0.250, 0.250, 0.250], [0.750, 0.750, 0.750], [0.500, 0.500, 0.500]],
  "e_form_raw_ev_per_atom": -1.760,
  "dos_at_fermi_per_ev_cell": 9.374,
  "crystal_system": "cubic"
}

=====

{
  "formula": "Eu2RhF",
  "functional": "GGA-PBE",
  "state": "optimized geometry",
  "lattice": [[3.944, 0.000, 0.000], [1.972, 3.415, 0.000], [1.972, 1.138, 6.813]],
  "species": ["Eu", "Eu", "Rh", "F"],
  "fractional_positions": [[0.752, 0.752, 0.744], [0.248, 0.248, 0.256], [0.000, 0.000, 0.000], [0.500, 0.500, 0.500]],
  "polymorph_energy_ev_per_atom": 0.000,
  "e_form_raw_ev_per_atom": -1.430,
  "dos_at_fermi_per_ev_cell": 14.639,
  "crystal_system": "trigonal"
}

=====

{
  "formula": "Eu2RhF",
  "functional": "GGA-PBE",
  "state": "optimized geometry",
  "lattice": [[3.371, 0.000, 0.000], [0.000, 3.371, 0.000], [0.000, 0.000, 7.367]],
  "species": ["Eu", "Eu", "Rh", "F"],
  "fractional_positions": [[0.000, 0.000, 0.751], [0.000, 0.000, 0.249], [0.500, 0.500, 0.000], [0.500, 0.500, 0.500]],
  "polymorph_energy_ev_per_atom": 0.038,
  "e_form_raw_ev_per_atom": -1.392,
  "dos_at_fermi_per_ev_cell": 10.927,
  "crystal_system": "tetragonal"
}

=====

Going through the records in order, we get total DFT energy (no corrections) values of -552.8 -21.6 -25.6 -34.9 -35.5 -37.6 -35.5 -35.3 eV/cell.